*P*
A relaxed Sr2SbO crystal. Source: the Alexandria database, functional PBE-GGA.

magnetization = 1.000 μB/cell
space group = Fm-3m (225)

Cell lengths 5.385, 5.385, 5.385 Å; angles 60.00, 60.00, 60.00 degrees
Fractional positions:
Sb: 0.500 0.500 0.500
O: 0.000 0.000 0.000
Sr: 0.250 0.250 0.250
Sr: 0.750 0.750 0.750



*Q*
A relaxed Sr2SbO crystal. Source: the Alexandria database, functional PBE-GGA.

magnetization = 2.000 μB/cell
space group = I-42d (122)

Cell lengths 7.405, 7.405, 6.825 Å; angles 57.15, 57.15, 90.00 degrees
Fractional positions:
Sb: 0.000 0.000 0.000
Sb: 0.750 0.250 0.500
O: 0.500 0.500 0.000
O: 0.250 0.750 0.500
Sr: 0.519 0.125 0.250
Sr: 0.231 0.625 0.250
Sr: 0.375 0.481 0.750
Sr: 0.875 0.769 0.750



The structure with the least stability is *P*.



*P*
A relaxed SrSbTe2O crystal. Source: the Alexandria database, functional PBE-GGA.

magnetization = 0.000 μB/cell
space group = P4/mmm (123)

Cell lengths 5.124, 4.907, 5.124 Å; angles 90.00, 90.00, 90.00 degrees
Fractional positions:
Sb: 0.500 0.500 0.500
Te: 0.000 0.000 0.500
Te: 0.500 0.000 0.000
O: 0.000 0.000 0.000
Sr: 0.000 0.500 0.000



*Q*
A relaxed SrSbTe2O crystal. Source: the Alexandria database, functional PBE-GGA.

magnetization = 0.000 μB/cell
space group = P4/mmm (123)

Cell lengths 6.051, 6.051, 6.250 Å; angles 90.00, 90.00, 90.00 degrees
Fractional positions:
Sb: 0.000 0.000 0.500
Te: 0.000 0.500 0.000
Te: 0.500 0.000 0.000
O: 0.500 0.500 0.500
Sr: 0.000 0.000 0.000



*R*
A relaxed SrSbTe2O crystal. Source: the Alexandria database, functional PBE-GGA.

magnetization = 0.000 μB/cell
space group = P4/mmm (123)

Cell lengths 5.161, 5.161, 4.707 Å; angles 90.00, 90.00, 90.00 degrees
Fractional positions:
Sb: 0.000 0.000 0.500
Te: 0.000 0.500 0.000
Te: 0.500 0.000 0.000
O: 0.000 0.000 0.000
Sr: 0.500 0.500 0.500



The structure with the least stability is *Q*.



*P*
A relaxed Ta2SbO crystal. Source: the Alexandria database, functional PBE-GGA.

magnetization = 0.000 μB/cell
space group = Fm-3m (225)

Cell lengths 4.535, 4.535, 4.535 Å; angles 60.00, 60.00, 60.00 degrees
Fractional positions:
Sb: 0.500 0.500 0.500
O: 0.000 0.000 0.000
Ta: 0.250 0.250 0.250
Ta: 0.750 0.750 0.750



*Q*
A relaxed Ta2SbO crystal. Source: the Alexandria database, functional PBE-GGA.

magnetization = 0.000 μB/cell
space group = I-42d (122)

Cell lengths 5.081, 5.081, 7.200 Å; angles 69.34, 69.34, 90.00 degrees
Fractional positions:
Sb: 0.000 0.000 0.000
Sb: 0.750 0.250 0.500
O: 0.500 0.500 0.000
O: 0.250 0.750 0.500
Ta: 0.483 0.125 0.250
Ta: 0.267 0.625 0.250
Ta: 0.375 0.517 0.750
Ta: 0.875 0.733 0.750



The structure with the least stability is *P*.



*P*
A relaxed Tb3SbO7 crystal. Source: the Alexandria database, functional PBE-GGA.

magnetization = 0.000 μB/cell
space group = P-1 (2)

Cell lengths 6.452, 6.505, 7.605 Å; angles 106.78, 89.78, 97.97 degrees
Fractional positions:
Tb: 0.736 0.465 0.117
Tb: 0.737 0.471 0.613
Tb: 0.541 0.995 0.749
Tb: 0.459 0.005 0.251
Tb: 0.263 0.529 0.387
Tb: 0.264 0.535 0.883
Sb: 0.000 0.000 0.000
Sb: 0.000 0.000 0.500
O: 0.711 0.066 0.485
O: 0.925 0.680 0.955
O: 0.709 0.068 0.047
O: 0.929 0.669 0.388
O: 0.900 0.931 0.732
O: 0.559 0.353 0.834
O: 0.547 0.362 0.344
O: 0.453 0.638 0.656
O: 0.441 0.647 0.166
O: 0.100 0.069 0.268
O: 0.071 0.331 0.612
O: 0.291 0.932 0.953
O: 0.075 0.320 0.045
O: 0.289 0.934 0.515



*Q*
A relaxed Tb3SbO7 crystal. Source: the Alexandria database, functional PBE-GGA.

magnetization = 0.000 μB/cell
space group = Cmcm (63)

Cell lengths 6.485, 6.485, 7.541 Å; angles 90.00, 90.00, 109.82 degrees
Fractional positions:
Tb: 0.513 0.054 0.250
Tb: 0.946 0.487 0.750
Tb: 0.000 0.000 0.000
Tb: 0.000 0.000 0.500
Tb: 0.487 0.946 0.750
Tb: 0.054 0.513 0.250
Sb: 0.500 0.500 0.500
Sb: 0.500 0.500 0.000
O: 0.849 0.116 0.750
O: 0.884 0.151 0.250
O: 0.437 0.179 0.533
O: 0.821 0.563 0.033
O: 0.821 0.563 0.467
O: 0.437 0.179 0.967
O: 0.588 0.588 0.750
O: 0.412 0.412 0.250
O: 0.563 0.821 0.033
O: 0.179 0.437 0.533
O: 0.563 0.821 0.467
O: 0.179 0.437 0.967
O: 0.116 0.849 0.750
O: 0.151 0.884 0.250



The structure with the least stability is *Q*.